A relaxed structure of DyScNi, computed with PBE-GGA.

## Properties
Volume   68 Å³ per cell
Space group   F-43m, No. 216
Uncorrected energy   -5.662 eV/atom
Energy of formation   -0.1626 eV per atom
ΔE to the lowest computed polymorph   0 meV/atom
Crystal system   cubic

Lattice parameters (Å, degrees): 4.5741 4.5741 4.5741 60.00 60.00 60.00
Positions (direct):
Dy: 0.2500 0.2500 0.2500
Ni: 0.0000 0.0000 0.0000
Sc: 0.7500 0.7500 0.7500